DFT (PBE) results for an optimized crystal structure of YSc2As.

Magnetization: 0.00 μB per formula unit
Energy relative to the elements: -0.475 eV per atom
Total energy: -6.419 eV per atom
Crystal system: monoclinic
D(E_F): 5.05 states/eV/cell
Symmetry: P2/m (10)

Lattice parameters (Å, degrees): 3.9826 4.3255 6.4236 63.89 90.00 90.00
Last column: nearest neighbours and their distance in Å.
Sites, in units of the cell vectors:
Y (0.5000, 0.2500, 0.2500)  2 As 2.98, 4 Sc 3.31
Sc (0.0000, 0.9149, 0.9689)  2 As 2.71, 1 Sc 3.02
As (0.5000, 0.7500, 0.7500)  4 Sc 2.71, 2 Y 2.98
Sc (0.0000, 0.5851, 0.5311)  2 As 2.71, 1 Sc 3.02